# 1
Density functional theory data (PBE) for a relaxed structure of Pm8DySc3.

Cell lengths 8.4372, 8.4372, 8.4372 Å; angles 120.06, 120.06, 89.89 degrees
Fractional positions:
1 Pm 0.0907 0.0907 0.7225
2 Pm 0.1971 0.1971 0.4728
3 Pm 0.2758 0.8029 0.0000
4 Pm 0.3682 0.3682 0.2775
5 Pm 0.6318 0.9093 0.0000
6 Pm 0.7242 0.7242 0.5272
7 Pm 0.8029 0.2758 0.0000
8 Pm 0.9093 0.6318 0.0000
9 Dy 0.5000 0.5000 0.0000
10 Sc 0.0000 0.0000 0.0000
11 Sc 0.2500 0.7500 0.5000
12 Sc 0.7500 0.2500 0.5000

Symmetry: No. 121
Energy of formation in meV/atom: 610

***

# 2
Density functional theory data (PBE) for a relaxed structure of PmDy5Sc4.

Cell lengths 8.0041, 8.0041, 8.0041 Å; angles 140.69, 101.52, 91.52 degrees
Fractional positions:
1 Pm 0.0000 0.0000 0.0000
2 Dy 0.0022 0.2013 0.8010
3 Dy 0.4003 0.2013 0.1990
4 Dy 0.5000 0.0000 0.5000
5 Dy 0.5997 0.7987 0.8010
6 Dy 0.9978 0.7987 0.1990
7 Sc 0.1926 0.6926 0.5000
8 Sc 0.2463 0.5000 0.7463
9 Sc 0.7537 0.5000 0.2537
10 Sc 0.8074 0.3074 0.5000

Symmetry: No. 71
Distance to the lowest polymorph of the same formula in eV/atom: 0.0000
Energy of formation in meV/atom: 283

***

| no. | calculated volume (A^3/atom) | magnetization (μB/cell) |
| --- | --- | --- |
| 1 | 35.36 | 0.0 |
| 2 | 30.45 | 0.0 |